[1]
Entry from Alexandria via LeMat-Bulk: an optimized crystal structure of GaTcPbO5 (PBE).

Lattice parameters (Å, degrees): 5.8337 5.8337 7.4292 104.68 104.68 105.80
Closest atoms and distances in Å follow each position.
Fractional coordinates of all 16 atoms:
O: 0.9526 0.0474 0.7500  2 Tc 1.91
O: 0.2955 0.8870 0.5909  1 Ga 1.86, 1 Tc 2.03
O: 0.6466 0.7543 0.9058  1 Ga 1.87, 1 Tc 1.99
O: 0.0474 0.9526 0.2500  2 Tc 1.91
O: 0.8870 0.2955 0.0909  1 Ga 1.86, 1 Tc 2.03
O: 0.3534 0.2457 0.0942  1 Ga 1.87, 1 Tc 1.99
O: 0.7045 0.1130 0.4091  1 Ga 1.86, 1 Tc 2.03
O: 0.7543 0.6466 0.4058  1 Ga 1.87, 1 Tc 1.99
O: 0.2457 0.3534 0.5942  1 Ga 1.87, 1 Tc 1.99
O: 0.1130 0.7045 0.9091  1 Ga 1.86, 1 Tc 2.03
Ga: 0.3129 0.6871 0.7500  4 O 1.86-1.87
Ga: 0.6871 0.3129 0.2500  4 O 1.86-1.87
Pb: 0.3299 0.6701 0.2500  7 O 2.51-2.63
Pb: 0.6701 0.3299 0.7500  7 O 2.51-2.63
Tc: 0.0000 0.0000 0.0000  6 O 1.91-2.03
Tc: 0.0000 0.0000 0.5000  6 O 1.91-2.03

Results
DOS(E_F) in states/eV/f.u.: 1.67
Formation energy without anion corrections in eV per atom: -1.454

***

[2]
Entry from Alexandria via LeMat-Bulk: an optimized crystal structure of GaTc2PbO8 (PBE).

Lattice parameters (Å, degrees): 5.6497 5.6497 6.8815 90.00 90.00 120.00
Closest atoms and distances in Å follow each position.
Fractional coordinates of all 12 atoms:
O: 0.7852 0.0943 0.3180  1 Tc 1.83, 1 Ga 1.99
O: 0.3091 0.2148 0.3180  1 Tc 1.83, 1 Ga 1.99
O: 0.3333 0.6667 0.9989  1 Tc 1.76
O: 0.2148 0.9057 0.6820  1 Tc 1.83, 1 Ga 1.99
O: 0.6909 0.7852 0.6820  1 Tc 1.83, 1 Ga 1.99
O: 0.6667 0.3333 0.0011  1 Tc 1.76
O: 0.0943 0.3091 0.6820  1 Tc 1.83, 1 Ga 1.99
O: 0.9057 0.6909 0.3180  1 Tc 1.83, 1 Ga 1.99
Ga: 0.0000 0.0000 0.5000  6 O 1.99
Tc: 0.3333 0.6667 0.7425  4 O 1.76-1.83
Tc: 0.6667 0.3333 0.2575  4 O 1.76-1.83
Pb: 0.0000 0.0000 0.0000  6 O 2.68

Results
DOS(E_F) in states/eV/f.u.: 6.63
Formation energy without anion corrections in eV per atom: -1.271

***

[3]
Entry from Alexandria via LeMat-Bulk: an optimized crystal structure of GaTe2PbO8 (PBE).

Lattice parameters (Å, degrees): 5.4964 5.4964 7.2747 90.00 90.00 120.00
Closest atoms and distances in Å follow each position.
Fractional coordinates of all 12 atoms:
Ga: 0.0000 0.0000 0.5000  6 O 1.99
O: 0.0328 0.2965 0.6725  1 Te 1.91, 1 Ga 1.99
O: 0.6667 0.3333 0.0224  1 Te 1.84
O: 0.7035 0.7363 0.6725  1 Te 1.91, 1 Ga 1.99
O: 0.2637 0.9672 0.6725  1 Te 1.91, 1 Ga 1.99
O: 0.9672 0.7035 0.3275  1 Te 1.91, 1 Ga 1.99
O: 0.2965 0.2637 0.3275  1 Te 1.91, 1 Ga 1.99
O: 0.3333 0.6667 0.9776  1 Te 1.84
O: 0.7363 0.0328 0.3275  1 Te 1.91, 1 Ga 1.99
Te: 0.3333 0.6667 0.7250  4 O 1.84-1.91
Te: 0.6667 0.3333 0.2750  4 O 1.84-1.91
Pb: 0.0000 0.0000 0.0000  12 O 2.84-3.18

Results
DOS(E_F) in states/eV/f.u.: 3.66
Formation energy without anion corrections in eV per atom: -0.961

***

[4]
Entry from Alexandria via LeMat-Bulk: an optimized crystal structure of Ti2GaPbO6 (PBE).

Lattice parameters (Å, degrees): 6.3776 7.3446 7.3446 103.36 74.68 74.68
Closest atoms and distances in Å follow each position.
Fractional coordinates of all 20 atoms:
O: 0.5270 0.1869 0.6361  1 Ti 1.83, 1 Ga 1.85
O: 0.3026 0.2192 0.0489  1 Ga 1.89, 1 Ti 2.01
O: 0.0270 0.6361 0.1869  1 Ti 1.83, 1 Ga 1.85
O: 0.5422 0.5832 0.6682  3 Ti 1.91-2.10
O: 0.1974 0.9511 0.7808  1 Ga 1.89, 1 Ti 2.01
O: 0.9578 0.3318 0.4168  3 Ti 1.91-2.10
O: 0.8026 0.0489 0.2192  1 Ga 1.89, 1 Ti 2.01
O: 0.0422 0.6682 0.5832  3 Ti 1.91-2.10
O: 0.9730 0.3639 0.8131  1 Ti 1.83, 1 Ga 1.85
O: 0.6974 0.7808 0.9511  1 Ga 1.89, 1 Ti 2.01
O: 0.4730 0.8131 0.3639  1 Ti 1.83, 1 Ga 1.85
O: 0.4578 0.4168 0.3318  3 Ti 1.91-2.10
Ti: 0.3426 0.7023 0.5431  4 O 1.83-2.01
Ti: 0.1574 0.4569 0.2977  4 O 1.83-2.01
Ti: 0.8426 0.5431 0.7023  4 O 1.83-2.01
Ti: 0.6574 0.2977 0.4569  4 O 1.83-2.01
Pb: 0.2500 0.9091 0.0909  4 O 2.46-2.58
Pb: 0.7500 0.0909 0.9091  4 O 2.46-2.58
Ga: 0.2500 0.1953 0.8047  4 O 1.85-1.89
Ga: 0.7500 0.8047 0.1953  4 O 1.85-1.89

Results
DOS(E_F) in states/eV/f.u.: 1.49
Formation energy without anion corrections in eV per atom: -2.300

***

[5]
Entry from Alexandria via LeMat-Bulk: an optimized crystal structure of TiGa2PbO6 (PBE).

Lattice parameters (Å, degrees): 6.2775 7.2830 7.2830 102.03 74.39 74.39
Closest atoms and distances in Å follow each position.
Fractional coordinates of all 20 atoms:
O: 0.3000 0.2202 0.0462  1 Ti 1.85, 1 Ga 1.98
O: 0.0392 0.6728 0.5666  3 Ga 1.90-2.08
O: 0.5342 0.1753 0.6351  1 Ti 1.82, 1 Ga 1.91
O: 0.9608 0.3272 0.4334  3 Ga 1.90-2.08
O: 0.2000 0.9538 0.7798  1 Ti 1.85, 1 Ga 1.98
O: 0.4608 0.4334 0.3272  3 Ga 1.90-2.08
O: 0.7000 0.7798 0.9538  1 Ti 1.85, 1 Ga 1.98
O: 0.4658 0.8247 0.3649  1 Ti 1.82, 1 Ga 1.91
O: 0.5392 0.5666 0.6728  3 Ga 1.90-2.08
O: 0.8000 0.0462 0.2202  1 Ti 1.85, 1 Ga 1.98
O: 0.9658 0.3649 0.8247  1 Ti 1.82, 1 Ga 1.91
O: 0.0342 0.6351 0.1753  1 Ti 1.82, 1 Ga 1.91
Ga: 0.6635 0.2971 0.4454  5 O 1.90-2.08
Ga: 0.3365 0.7029 0.5546  5 O 1.90-2.08
Ga: 0.1635 0.4454 0.2971  5 O 1.90-2.08
Ga: 0.8365 0.5546 0.7029  5 O 1.90-2.08
Pb: 0.2500 0.8928 0.1072  6 O 2.56-2.65
Pb: 0.7500 0.1072 0.8928  6 O 2.56-2.65
Ti: 0.2500 0.1960 0.8040  4 O 1.82-1.85
Ti: 0.7500 0.8040 0.1960  4 O 1.82-1.85

Results
DOS(E_F) in states/eV/f.u.: 0.00
Formation energy without anion corrections in eV per atom: -2.020

***

[6]
Entry from Alexandria via LeMat-Bulk: an optimized crystal structure of Ti2GaPbO (PBE).

Lattice parameters (Å, degrees): 4.1360 4.1360 4.9731 90.00 90.00 90.00
Closest atoms and distances in Å follow each position.
Fractional coordinates of all 5 atoms:
O: 0.0000 0.0000 0.0000  4 Ti 2.07
Pb: 0.5000 0.5000 0.5000  4 Ga 2.92, 8 Ti 3.23
Ti: 0.0000 0.5000 0.0000  2 O 2.07
Ti: 0.5000 0.0000 0.0000  2 O 2.07
Ga: 0.0000 0.0000 0.5000  2 O 2.49

Results
DOS(E_F) in states/eV/f.u.: 4.27
Formation energy without anion corrections in eV per atom: -0.696

***

Per-record energy, eV per formula unit: -53.5 -82.4 -64.2 -75.3 -67.6 -31.0